(1)
## Pr3Nd5Tm2 (PBE)

Data for a relaxed structure of Pr3Nd5Tm2.

Structure (extended XYZ):
```
20
Lattice="-4.556 -4.566 -1.313 -0.737 -0.825 -11.076 4.314 -9.863 2.831" Properties=species:S:1:pos:R:3 pbc="T T T"
Tm 0.419 -10.050 0.495
Tm -1.398 -5.204 -10.053
Tm -0.658 -1.764 -8.086
Tm -0.321 -13.490 -1.472
Nd -1.629 -8.769 -5.107
Nd 0.806 -7.716 -8.967
Nd -3.657 -7.242 -3.378
Nd 2.678 -8.013 -6.180
Nd -1.379 -4.959 -2.722
Nd 0.649 -6.486 -4.451
Nd -1.218 -2.195 -4.644
Nd 0.238 -13.059 -4.914
Nd -1.785 -7.538 -0.591
Nd 0.400 -10.296 -6.836
Pr 1.036 -9.664 -2.988
Pr -3.417 -3.425 -0.984
Pr -2.015 -5.590 -6.570
Pr -2.957 -8.879 -8.365
Pr 1.978 -6.375 -1.193
Pr -1.139 -1.142 -0.328
```

Output
DFT total energy ... -4.437 eV/atom
Density ... 7.00 g cm⁻³
E_form ... 275 meV/atom
ΔE to the lowest computed polymorph ... 0.106 eV/atom



(2)
## NaPa2Tl3Te6 (PBE)

Data for a relaxed structure of NaPa2Tl3Te6.

Structure (extended XYZ):
```
12
Lattice="-2.304 1.758 3.374 -7.601 1.473 -5.957 0.265 -10.356 2.646" Properties=species:S:1:pos:R:3 pbc="T T T"
Pa -6.854 -4.462 0.577
Pa -2.786 -2.664 -0.514
Te -2.309 -2.199 2.501
Te -1.919 0.032 -1.327
Te -7.721 -7.158 1.390
Te -7.331 -4.926 -2.438
Te -5.710 -1.615 -0.126
Te -3.930 -5.510 0.188
Na -1.152 0.879 1.687
Tl -3.041 -5.387 3.663
Tl -6.599 -1.738 -3.600
Tl -4.952 1.615 -1.292
```

Output
DFT total energy ... -4.521 eV/atom
Density ... 7.20 g cm⁻³



(3)
## K2Rb3CaBr6 (PBE)

Data for a relaxed structure of K2Rb3CaBr6.

Structure (extended XYZ):
```
12
Lattice="8.326 0.000 0.008 -4.161 7.211 0.008 -1.382 -2.392 8.149" Properties=species:S:1:pos:R:3 pbc="T T T"
Rb 5.522 0.024 4.082
Rb 1.392 2.410 4.082
Rb -2.739 4.795 4.082
Br 0.326 4.815 6.456
Br 2.939 5.088 1.744
Br 2.458 0.004 1.708
Br -1.224 2.131 1.708
Br -0.155 -0.269 6.421
Br 4.008 2.688 6.456
K 0.008 4.804 0.008
K 4.157 2.408 0.008
Ca 0.000 0.000 0.000
```

Output
DFT total energy ... -3.082 eV/atom
Density ... 2.90 g cm⁻³



(4)
## K2MgAgBr5 (PBE)

Data for a relaxed structure of K2MgAgBr5.

Structure (extended XYZ):
```
18
Lattice="4.307 0.000 0.000 -2.153 9.992 0.000 0.000 0.000 13.539" Properties=species:S:1:pos:R:3 pbc="T T T"
K 0.000 2.596 9.236
K 2.153 7.396 2.466
K 0.000 2.507 4.271
K 2.153 7.485 11.041
Ag 2.153 5.435 7.254
Ag 0.000 4.557 0.484
Br 0.000 7.219 0.000
Br 2.153 2.773 6.770
Br 0.000 0.845 0.477
Br 2.153 9.147 7.246
Br 2.153 3.986 2.144
Br 0.000 9.841 3.793
Br 2.153 0.151 10.563
Br 0.000 6.006 8.914
Br 2.153 3.768 11.867
Br 0.000 6.224 5.097
Mg 2.153 1.409 12.734
Mg 0.000 8.583 5.964
```

Output
DFT total energy ... -2.990 eV/atom
Density ... 3.48 g cm⁻³



(5)
## CsVZn3 (PBE)

Data for a relaxed structure of CsVZn3.

Structure (extended XYZ):
```
5
Lattice="6.510 0.000 0.000 0.000 6.510 0.000 0.000 0.000 6.510" Properties=species:S:1:pos:R:3 pbc="T T T"
V 3.255 3.255 3.255
Zn 0.000 0.000 3.255
Zn 3.255 0.000 0.000
Zn 0.000 3.255 0.000
Cs 0.000 0.000 0.000
```

Output
DFT total energy ... -1.201 eV/atom
Density ... 2.29 g cm⁻³
E_form ... 1558 meV/atom



(6)
## Sr2LiCaZn (PBE)

Data for a relaxed structure of Sr2LiCaZn.

Structure (extended XYZ):
```
5
Lattice="6.267 0.000 0.000 0.000 6.267 0.000 0.000 0.000 5.044" Properties=species:S:1:pos:R:3 pbc="T T T"
Sr 3.133 0.000 0.000
Sr 0.000 3.133 0.000
Li 0.000 0.000 2.522
Zn 0.000 0.000 0.000
Ca 3.133 3.133 2.522
```

Output
DFT total energy ... -1.654 eV/atom
Density ... 2.41 g cm⁻³
E_form ... 56 meV/atom
ΔE to the lowest computed polymorph ... 0.000 eV/atom



Repeat the fourth record exactly.
## K2MgAgBr5 (PBE)

Data for a relaxed structure of K2MgAgBr5.

Structure (extended XYZ):
```
18
Lattice="4.307 0.000 0.000 -2.153 9.992 0.000 0.000 0.000 13.539" Properties=species:S:1:pos:R:3 pbc="T T T"
K 0.000 2.596 9.236
K 2.153 7.396 2.466
K 0.000 2.507 4.271
K 2.153 7.485 11.041
Ag 2.153 5.435 7.254
Ag 0.000 4.557 0.484
Br 0.000 7.219 0.000
Br 2.153 2.773 6.770
Br 0.000 0.845 0.477
Br 2.153 9.147 7.246
Br 2.153 3.986 2.144
Br 0.000 9.841 3.793
Br 2.153 0.151 10.563
Br 0.000 6.006 8.914
Br 2.153 3.768 11.867
Br 0.000 6.224 5.097
Mg 2.153 1.409 12.734
Mg 0.000 8.583 5.964
```

Output
DFT total energy ... -2.990 eV/atom
Density ... 3.48 g cm⁻³



> The highest DFT total energy belongs to which entry?

CsVZn3